# 1
# PBE-GGA Na6MgBi2, optimized geometry
# V in Å³ per cell: 283.1
# SG: R-3m
# Crystal system: trigonal
# Formation energy in eV per atom: -0.242
data_Na6MgBi2
_chemical_formula_sum 'Na6 Mg1 Bi2'
_cell_length_a 5.506
_cell_length_b 5.506
_cell_length_c 11.243
_cell_angle_alpha 75.83
_cell_angle_beta 75.83
_cell_angle_gamma 60.00
_space_group_name_H-M_alt 'P 1'
_space_group_IT_number 1
_space_group_name_Hall 'P 1'
loop_
_atom_site_label
_atom_site_type_symbol
_atom_site_fract_x
_atom_site_fract_y
_atom_site_fract_z
Na1 Na 0.587 0.587 0.240
Na2 Na 0.807 0.807 0.580
Na3 Na 0.705 0.705 0.886
Na4 Na 0.193 0.193 0.420
Na5 Na 0.413 0.413 0.760
Na6 Na 0.295 0.295 0.114
Mg1 Mg 0.000 0.000 0.000
Bi1 Bi 0.908 0.908 0.277
Bi2 Bi 0.092 0.092 0.723


# 2
# PBE-GGA CrGe3Rh, optimized geometry
# V in Å³ per cell: 108.6
# SG: Pm-3m
# Polymorph energy (0 for the lowest one) in kJ/mol of formula units: 0
# Crystal system: cubic
# Formation energy in eV per atom: 0.547
data_CrGe3Rh
_chemical_formula_sum 'Cr1 Ge3 Rh1'
_cell_length_a 4.771
_cell_length_b 4.771
_cell_length_c 4.771
_cell_angle_alpha 90.00
_cell_angle_beta 90.00
_cell_angle_gamma 90.00
_space_group_name_H-M_alt 'P 1'
_space_group_IT_number 1
_space_group_name_Hall 'P 1'
loop_
_atom_site_label
_atom_site_type_symbol
_atom_site_fract_x
_atom_site_fract_y
_atom_site_fract_z
Cr1 Cr 0.500 0.500 0.500
Ge1 Ge 0.000 0.500 0.000
Ge2 Ge 0.000 0.000 0.500
Ge3 Ge 0.500 0.000 0.000
Rh1 Rh 0.000 0.000 0.000


# 3
# PBE-GGA Ac3As2Pd9Pt, optimized geometry
# V in Å³ per cell: 336.9
# SG: P-3m1
# Crystal system: trigonal
# Formation energy in eV per atom: -0.641
data_Ac3As2Pd9Pt
_chemical_formula_sum 'Ac3 As2 Pd9 Pt1'
_cell_length_a 5.863
_cell_length_b 5.863
_cell_length_c 11.318
_cell_angle_alpha 90.00
_cell_angle_beta 90.00
_cell_angle_gamma 120.00
_space_group_name_H-M_alt 'P 1'
_space_group_IT_number 1
_space_group_name_Hall 'P 1'
loop_
_atom_site_label
_atom_site_type_symbol
_atom_site_fract_x
_atom_site_fract_y
_atom_site_fract_z
Ac1 Ac 0.333 0.667 0.589
Ac2 Ac 0.000 0.000 0.000
Ac3 Ac 0.667 0.333 0.411
As1 As 0.333 0.667 0.160
As2 As 0.667 0.333 0.840
Pd1 Pd 0.839 0.161 0.691
Pd2 Pd 0.839 0.678 0.691
Pd3 Pd 0.322 0.161 0.691
Pd4 Pd 0.678 0.839 0.309
Pd5 Pd 0.161 0.322 0.309
Pd6 Pd 0.161 0.839 0.309
Pd7 Pd 0.500 0.000 0.000
Pd8 Pd 0.000 0.500 0.000
Pd9 Pd 0.500 0.500 0.000
Pt1 Pt 0.000 0.000 0.500


# 4
# PBE-GGA IrPdN2F, optimized geometry
# V in Å³ per cell: 62.0
# SG: P4/mmm
# Polymorph energy (0 for the lowest one) in kJ/mol of formula units: 460
# Crystal system: tetragonal
# Energy relative to the elements, uncorrected in eV per atom: 1.708
data_IrPdN2F
_chemical_formula_sum 'Ir1 Pd1 N2 F1'
_cell_length_a 3.993
_cell_length_b 3.993
_cell_length_c 3.891
_cell_angle_alpha 90.00
_cell_angle_beta 90.00
_cell_angle_gamma 90.00
_space_group_name_H-M_alt 'P 1'
_space_group_IT_number 1
_space_group_name_Hall 'P 1'
loop_
_atom_site_label
_atom_site_type_symbol
_atom_site_fract_x
_atom_site_fract_y
_atom_site_fract_z
N1 N 0.000 0.500 0.000
N2 N 0.500 0.000 0.000
Ir1 Ir 0.500 0.500 0.500
Pd1 Pd 0.000 0.000 0.000
F1 F 0.000 0.000 0.500


| no. | electronic total energy (eV/cell) |
| --- | --- |
| 1 | -19.445 |
| 2 | -28.090 |
| 3 | -84.011 |
| 4 | -24.036 |